Compound: HoZn2Pt2
Source: Alexandria via LeMat-Bulk
Functional: GGA-PBE
Structure: relaxed

Cell: 4.8497 4.6053 8.2625 Å, 90.00 100.86 90.00°
With the nearest neighbours (Å) after each atom.
Fractional positions:
Ho: 0.1983 0.2500 0.2729  7 Pt 2.94-3.14, 4 Zn 3.07-3.21
Ho: 0.8017 0.7500 0.7271  7 Pt 2.94-3.14, 4 Zn 3.07-3.21
Zn: 0.3350 0.2500 0.6509  5 Pt 2.55-2.70
Zn: 0.3582 0.7500 0.0007  4 Pt 2.54-2.64, 2 Zn 2.68
Zn: 0.6418 0.2500 0.9993  4 Pt 2.54-2.64, 2 Zn 2.68
Zn: 0.6650 0.7500 0.3491  5 Pt 2.55-2.70
Pt: 0.1121 0.2500 0.9072  5 Zn 2.54-2.64
Pt: 0.2102 0.7500 0.4945  4 Zn 2.65-2.70, 2 Ho 2.94
Pt: 0.7898 0.2500 0.5055  4 Zn 2.65-2.70, 2 Ho 2.94
Pt: 0.8879 0.7500 0.0928  5 Zn 2.54-2.64

- DOS at the Fermi energy (states/eV/atom) = 0.36
- space-group type = P2_1/m (11)
- formation energy (eV/atom) = -0.785
- calculated volume (Å³/cell) = 181.2
- energy relative to the lowest polymorph listed for this composition (meV/atom) = 41
- density (Mg/m³) = 12.57